(1)
{"formula": "LaMgIn2", "functional": "SCAN", "state": "single point on PBEsol structure", "lattice_angstrom": [[3.6383, 0.0000, 0.0000], [0.0000, 3.6383, 0.0000], [0.0000, 0.0000, 7.6854]], "species": ["La", "Mg", "In", "In"], "frac_coords": [[0.0000, 0.0000, 0.0000], [0.0000, 0.0000, 0.5000], [0.5000, 0.5000, 0.2870], [0.5000, 0.5000, 0.7130]], "formation_energy_ev_per_atom": -0.488, "n_ef_per_ev_atom": 0.51, "magnetic_moment_mub_per_cell": 0.6}

=====

(2)
{"formula": "TlInTe2", "functional": "SCAN", "state": "single point on PBEsol structure", "lattice_angstrom": [[8.0080, 0.0000, 0.0000], [0.0000, 8.0080, 0.0000], [0.0000, 0.0000, 8.8252]], "species": ["Tl", "Tl", "Tl", "Tl", "In", "In", "In", "In", "Te", "Te", "Te", "Te", "Te", "Te", "Te", "Te"], "frac_coords": [[0.0000, 0.0000, 0.0000], [0.0000, 0.5000, 0.2500], [0.5000, 0.0000, 0.7500], [0.5000, 0.5000, 0.5000], [0.0000, 0.0000, 0.5000], [0.0000, 0.5000, 0.7500], [0.5000, 0.0000, 0.2500], [0.5000, 0.5000, 0.0000], [0.1994, 0.2500, 0.6250], [0.2500, 0.6994, 0.8750], [0.2500, 0.8006, 0.3750], [0.3006, 0.2500, 0.1250], [0.6994, 0.7500, 0.1250], [0.7500, 0.1994, 0.3750], [0.7500, 0.3006, 0.8750], [0.8006, 0.7500, 0.6250]], "dft_energy_ev_per_fu": -181.496, "magnetic_moment_mub_per_cell": 0.0}

=====

(3)
{"formula": "TcIrSeN2", "functional": "SCAN", "state": "single point on PBEsol structure", "lattice_angstrom": [[3.6886, 0.0000, 0.0000], [0.0000, 3.6886, 0.0000], [0.0000, 0.0000, 6.0754]], "species": ["Tc", "Ir", "Se", "N", "N"], "frac_coords": [[0.0000, 0.0000, 0.0000], [0.5000, 0.5000, 0.5000], [0.5000, 0.5000, 0.0000], [0.0000, 0.5000, 0.5000], [0.5000, 0.0000, 0.5000]], "n_ef_per_ev_atom": 0.49, "magnetic_moment_mub_per_cell": 3.6, "e_above_lowest_polymorph_mev_per_atom": 0}

=====

(4)
{"formula": "Mn2BeInH", "functional": "SCAN", "state": "single point on PBEsol structure", "lattice_angstrom": [[4.5836, 0.0000, 0.0000], [0.0000, 4.5836, 0.0000], [0.0000, 0.0000, 3.0162]], "species": ["Mn", "Mn", "Be", "In", "H"], "frac_coords": [[0.0000, 0.5000, 0.0000], [0.5000, 0.0000, 0.0000], [0.0000, 0.0000, 0.0000], [0.5000, 0.5000, 0.5000], [0.0000, 0.0000, 0.5000]], "n_ef_per_ev_atom": 0.56, "dft_energy_ev_per_fu": -75.369, "magnetic_moment_mub_per_cell": 7.5}